Record 1
# YIn2 | Alexandria via LeMat-Bulk | PBE-GGA | optimized geometry
# Total magnetization   0.00 μB/cell
# Formation enthalpy at 0 K   -0.1398 eV per atom
data_YIn2
_chemical_formula_sum 'Y1 In2'
_cell_length_a 3.4697
_cell_length_b 3.4697
_cell_length_c 7.8609
_cell_angle_alpha 90.00
_cell_angle_beta 90.00
_cell_angle_gamma 120.00
_symmetry_space_group_name_H-M 'P -3 m 1'
_symmetry_Int_Tables_number 164
_symmetry_space_group_name_Hall '-P 3 2"'
loop_
_atom_site_label
_atom_site_type_symbol
_atom_site_fract_x
_atom_site_fract_y
_atom_site_fract_z
Y1 Y 0.0000 0.0000 0.0000
In1 In 0.3333 0.6667 0.3392

---

Record 2
# Y2In | Alexandria via LeMat-Bulk | PBE-GGA | optimized geometry
# Total magnetization   0.61 μB/cell
# Formation enthalpy at 0 K   -0.0728 eV per atom
data_Y2In
_chemical_formula_sum 'Y2 In1'
_cell_length_a 5.2021
_cell_length_b 5.2021
_cell_length_c 3.6482
_cell_angle_alpha 90.00
_cell_angle_beta 90.00
_cell_angle_gamma 90.00
_symmetry_space_group_name_H-M 'P 4/m m m'
_symmetry_Int_Tables_number 123
_symmetry_space_group_name_Hall '-P 4 2'
loop_
_atom_site_label
_atom_site_type_symbol
_atom_site_fract_x
_atom_site_fract_y
_atom_site_fract_z
Y1 Y 0.0000 0.5000 0.0000
In1 In 0.0000 0.0000 0.5000

---

Record 3
# Y5In | Alexandria via LeMat-Bulk | PBE-GGA | optimized geometry
# Energy relative to the lowest polymorph listed for this composition   3.7 meV/atom
# Total magnetization   0.00 μB/cell
# Formation enthalpy at 0 K   -0.1616 eV per atom
data_Y5In
_chemical_formula_sum 'Y5 In1'
_cell_length_a 3.5915
_cell_length_b 3.5915
_cell_length_c 14.2843
_cell_angle_alpha 90.00
_cell_angle_beta 90.00
_cell_angle_gamma 90.00
_symmetry_space_group_name_H-M 'P 4/m m m'
_symmetry_Int_Tables_number 123
_symmetry_space_group_name_Hall '-P 4 2'
loop_
_atom_site_label
_atom_site_type_symbol
_atom_site_fract_x
_atom_site_fract_y
_atom_site_fract_z
Y1 Y 0.0000 0.0000 0.0000
Y2 Y 0.0000 0.0000 0.3544
Y3 Y 0.5000 0.5000 0.1764
In1 In 0.5000 0.5000 0.5000

---

Record 4
# Y5In3 | Alexandria via LeMat-Bulk | PBE-GGA | optimized geometry
# Energy relative to the lowest polymorph listed for this composition   53.9 meV/atom
# Total magnetization   0.04 μB/cell
# Formation enthalpy at 0 K   -0.3639 eV per atom
data_Y5In3
_chemical_formula_sum 'Y10 In6'
_cell_length_a 8.1970
_cell_length_b 10.8091
_cell_length_c 5.1479
_cell_angle_alpha 90.00
_cell_angle_beta 90.00
_cell_angle_gamma 90.00
_symmetry_space_group_name_H-M 'C m m m'
_symmetry_Int_Tables_number 65
_symmetry_space_group_name_Hall '-C 2 2'
loop_
_atom_site_label
_atom_site_type_symbol
_atom_site_fract_x
_atom_site_fract_y
_atom_site_fract_z
Y1 Y 0.0000 0.0000 0.0000
Y2 Y 0.2140 0.5000 0.5000
Y3 Y 0.2500 0.2500 0.0000
In1 In 0.0000 0.2080 0.5000
In2 In 0.0000 0.5000 0.0000

---

Record 5
# Y5In | Alexandria via LeMat-Bulk | PBE-GGA | optimized geometry
# Energy relative to the lowest polymorph listed for this composition   49.3 meV/atom
# Total magnetization   0.00 μB/cell
# Formation enthalpy at 0 K   -0.1160 eV per atom
data_Y5In
_chemical_formula_sum 'Y5 In1'
_cell_length_a 6.1377
_cell_length_b 6.1377
_cell_length_c 5.5772
_cell_angle_alpha 90.00
_cell_angle_beta 90.00
_cell_angle_gamma 120.00
_symmetry_space_group_name_H-M 'P -6 2 m'
_symmetry_Int_Tables_number 189
_symmetry_space_group_name_Hall 'P -6 -2'
loop_
_atom_site_label
_atom_site_type_symbol
_atom_site_fract_x
_atom_site_fract_y
_atom_site_fract_z
Y1 Y 0.0000 0.6855 0.0000
Y2 Y 0.3333 0.6667 0.5000
In1 In 0.0000 0.0000 0.5000

---

Record 6
# YIn4 | Alexandria via LeMat-Bulk | PBE-GGA | optimized geometry
# Energy relative to the lowest polymorph listed for this composition   486.2 meV/atom
# Total magnetization   0.01 μB/cell
# Formation enthalpy at 0 K   0.5213 eV per atom
data_YIn4
_chemical_formula_sum 'Y1 In4'
_cell_length_a 5.8868
_cell_length_b 5.8868
_cell_length_c 5.8868
_cell_angle_alpha 90.00
_cell_angle_beta 90.00
_cell_angle_gamma 90.00
_symmetry_space_group_name_H-M 'P m -3 m'
_symmetry_Int_Tables_number 221
_symmetry_space_group_name_Hall '-P 4 2 3'
loop_
_atom_site_label
_atom_site_type_symbol
_atom_site_fract_x
_atom_site_fract_y
_atom_site_fract_z
Y1 Y 0.0000 0.0000 0.0000
In1 In 0.0000 0.0000 0.5000
In2 In 0.5000 0.5000 0.5000

---

Record 7
# Y3In5 | Alexandria via LeMat-Bulk | PBE-GGA | optimized geometry
# Energy relative to the lowest polymorph listed for this composition   39.0 meV/atom
# Total magnetization   0.00 μB/cell
# Formation enthalpy at 0 K   -0.4513 eV per atom
data_Y3In5
_chemical_formula_sum 'Y6 In10'
_cell_length_a 9.1289
_cell_length_b 9.4918
_cell_length_c 4.7962
_cell_angle_alpha 90.00
_cell_angle_beta 90.00
_cell_angle_gamma 90.00
_symmetry_space_group_name_H-M 'C m m m'
_symmetry_Int_Tables_number 65
_symmetry_space_group_name_Hall '-C 2 2'
loop_
_atom_site_label
_atom_site_type_symbol
_atom_site_fract_x
_atom_site_fract_y
_atom_site_fract_z
Y1 Y 0.0000 0.0000 0.0000
Y2 Y 0.0000 0.2740 0.5000
In1 In 0.0000 0.5000 0.0000
In2 In 0.2322 0.0000 0.5000
In3 In 0.2500 0.2500 0.0000

---

Record 8
# Y2In | Alexandria via LeMat-Bulk | PBE-GGA | optimized geometry
# Total magnetization   0.00 μB/cell
# Formation enthalpy at 0 K   -0.3533 eV per atom
data_Y2In
_chemical_formula_sum 'Y8 In4'
_cell_length_a 3.7962
_cell_length_b 16.9881
_cell_length_c 5.3384
_cell_angle_alpha 90.00
_cell_angle_beta 90.00
_cell_angle_gamma 90.00
_symmetry_space_group_name_H-M 'C m c m'
_symmetry_Int_Tables_number 63
_symmetry_space_group_name_Hall '-C 2c 2'
loop_
_atom_site_label
_atom_site_type_symbol
_atom_site_fract_x
_atom_site_fract_y
_atom_site_fract_z
Y1 Y 0.0000 0.0839 0.2500
Y2 Y 0.0000 0.2288 0.7500
In1 In 0.0000 0.4245 0.2500

---

> Which of these has the highest total magnetization?

number 2

---

> Among the records above, which one has the highest total magnetization?

number 2